The following is a PBE-GGA calculation of a geometry-optimized Ge2H2Ir structure, from Alexandria via LeMat-Bulk.

energy relative to the lowest polymorph listed for this composition: 4 meV/atom

a b c (Å): 6.7966 6.7966 2.9343
angles (deg): 90.00 90.00 90.00
With the nearest neighbours (Å) after each atom.
Space group P4/mbm (No. 127)
Symmetry-distinct sites (fractional):
Ge: 0.1978 0.3021 0.0000 x4  2 H 1.80
H: 0.0898 0.4102 0.5000 x4  1 H 1.73, 2 Ge 1.80
Ir: 0.0000 0.0000 0.0000 x2  4 Ge 2.45